First-principles (PBE) data for a geometry-optimized TaTlCl2 structure, as listed in Alexandria via LeMat-Bulk.

Output
magnetization	0.30	μB per cell
energy above the most stable polymorph in this dataset	0.55	eV/f.u.
space-group type	No. 65
formation energy without anion corrections	-0.373	eV/atom

Cell lengths 3.4337, 3.4337, 10.2305 Å; angles 90.00, 90.00, 127.11 degrees
Fractional positions:
Ta1 0.0000 0.0000 0.0000
Tl1 0.0000 0.0000 0.5000
Cl1 0.5000 0.5000 0.1935
Cl2 0.5000 0.5000 0.8065

---

First-principles (PBE) data for a geometry-optimized CuSi2P structure, as listed in Alexandria via LeMat-Bulk.

Output
magnetization	0.00	μB per cell
space-group type	No. 216
formation energy without anion corrections	0.474	eV/atom

Cell lengths 4.2940, 4.2940, 4.2940 Å; angles 60.00, 60.00, 60.00 degrees
Fractional positions:
Cu1 0.0000 0.0000 0.0000
Si1 0.5000 0.5000 0.5000
Si2 0.7500 0.7500 0.7500
P1 0.2500 0.2500 0.2500

---

First-principles (PBE) data for a geometry-optimized BaMgIn3 structure, as listed in Alexandria via LeMat-Bulk.

Output
magnetization	0.00	μB per cell
space-group type	No. 221
ΔH_f (0 K)	-6	kJ per mole of atoms

Cell lengths 5.5260, 5.5260, 5.5260 Å; angles 90.00, 90.00, 90.00 degrees
Fractional positions:
Ba1 0.0000 0.0000 0.0000
Mg1 0.5000 0.5000 0.5000
In1 0.0000 0.5000 0.5000
In2 0.5000 0.0000 0.5000
In3 0.5000 0.5000 0.0000

---

Which value of magnetization does entry 2 give? 0.00 μB per cell

---

Which formula does entry 1 have? TaTlCl2

---

Number 2 is which compound? CuSi2P

---

What is the magnetization in the second record? 0.00 μB per cell